Entry 1:
Material: La3NdTh2S6
Method: DFT, PBE
State: optimized geometry

CIF file:
```
data_La3NdTh2S6
_cell_length_a 7.102
_cell_length_b 12.253
_cell_length_c 7.121
_cell_angle_alpha 90.00
_cell_angle_beta 109.27
_cell_angle_gamma 90.00
_space_group_name_H-M_alt 'C 1 2/m 1'
_space_group_IT_number 12
_space_group_name_Hall '-C 2y'
loop_
_atom_site_label
_atom_site_type_symbol
_atom_site_fract_x
_atom_site_fract_y
_atom_site_fract_z
La1 La 0.000 0.000 0.000
La2 La 0.000 0.335 0.000
Nd1 Nd 0.000 0.500 0.500
Th1 Th 0.000 0.167 0.500
S1 S 0.246 0.000 0.742
S2 S 0.249 0.333 0.744
```

Values from the calculation:
**D(E_F)**: 14.3 states/eV per cell
**Total energy**: -6.959 eV/atom

Entry 2:
Material: LaNd2Th3S6
Method: DFT, PBE
State: optimized geometry

CIF file:
```
data_LaNd2Th3S6
_cell_length_a 7.041
_cell_length_b 12.113
_cell_length_c 7.088
_cell_angle_alpha 90.00
_cell_angle_beta 109.07
_cell_angle_gamma 90.00
_space_group_name_H-M_alt 'C 1 2/m 1'
_space_group_IT_number 12
_space_group_name_Hall '-C 2y'
loop_
_atom_site_label
_atom_site_type_symbol
_atom_site_fract_x
_atom_site_fract_y
_atom_site_fract_z
La1 La 0.000 0.000 0.000
Nd1 Nd 0.000 0.334 0.000
Th1 Th 0.000 0.166 0.500
Th2 Th 0.000 0.500 0.500
S1 S 0.248 0.332 0.748
S2 S 0.248 0.500 0.252
```

Values from the calculation:
**D(E_F)**: 15.5 states/eV per cell
**Total energy**: -7.068 eV/atom